No. 1
# ScAuBr2, relaxed, DFT GGA-PBE
# Total DFT energy (no corrections) (eV for the cell shown): -14.383
# Relative energy among the computed polymorphs (kJ/mol of atoms): 67.78
data_ScAuBr2
_chemical_formula_sum 'Sc1 Au1 Br2'
_space_group_name_H-M_alt 'P 4/m m m'
_space_group_IT_number 123
_space_group_name_Hall '-P 4 2'
_cell_length_a 4.6773
_cell_length_b 4.6773
_cell_length_c 4.0607
_cell_angle_alpha 90.00
_cell_angle_beta 90.00
_cell_angle_gamma 90.00
loop_
_atom_site_label
_atom_site_fract_x
_atom_site_fract_y
_atom_site_fract_z
_atom_site_occupancy
Sc1 0.0000 0.0000 0.0000 1
Au1 0.5000 0.5000 0.0000 1
Br1 0.0000 0.5000 0.5000 1

***

No. 2
# ScAu2Br, relaxed, DFT GGA-PBE
# Total DFT energy (no corrections) (eV for the cell shown): -16.409
# Relative energy among the computed polymorphs (kJ/mol of atoms): 21.49
data_ScAu2Br
_chemical_formula_sum 'Sc1 Au2 Br1'
_space_group_name_H-M_alt 'P 4/m m m'
_space_group_IT_number 123
_space_group_name_Hall '-P 4 2'
_cell_length_a 3.3672
_cell_length_b 3.3672
_cell_length_c 7.5358
_cell_angle_alpha 90.00
_cell_angle_beta 90.00
_cell_angle_gamma 90.00
loop_
_atom_site_label
_atom_site_fract_x
_atom_site_fract_y
_atom_site_fract_z
_atom_site_occupancy
Sc1 0.0000 0.0000 0.0000 1
Au1 0.5000 0.5000 0.2219 1
Br1 0.0000 0.0000 0.5000 1